(1)
Ti2GaB | PBE | optimized geometry

## Properties
**Energy relative to the lowest polymorph listed for this composition**: 0.000 eV per atom
**Symmetry**: No. 166
**Energy of formation from the pure elements**: -0.420 eV per atom

Lattice parameters (Å, degrees): 3.165 3.165 7.069 77.07 77.07 60.00
Positions (direct):
B1 0.000 0.000 0.000
Ga1 0.500 0.500 0.500
Ti1 0.274 0.274 0.178
Ti2 0.726 0.726 0.822

(2)
Ti4Ga2B | PBE | optimized geometry

## Properties
**Symmetry**: No. 139
**Energy of formation from the pure elements**: -0.298 eV per atom

Lattice parameters (Å, degrees): 4.152 4.152 7.379 73.66 73.66 90.00
Positions (direct):
B1 0.000 0.000 0.000
Ga1 0.363 0.363 0.275
Ga2 0.637 0.637 0.725
Ti1 0.162 0.162 0.676
Ti2 0.838 0.838 0.324
Ti3 0.000 0.500 0.000
Ti4 0.500 0.000 0.000